Entry 1:
# ScBeF5

Crystalline ScBeF5 at its relaxed geometry (GGA-PBE, Alexandria).

Output
Raw total energy: -6.44 eV/atom
Calculated density: 2.5 Mg/m³
Raw formation energy: -3.665 eV/atom

abc: 7.6753 7.5678 7.7251
angles: 90.00 119.24 90.00
Space group C2/c (No. 15)
Unique sites:
1 Sc 0.2500 0.2500 0.0000 (multiplicity 4)
2 Be 0.0000 0.1257 0.2500 (multiplicity 4)
3 F 0.0000 0.3276 0.7500 (multiplicity 4)
4 F 0.0938 0.2418 0.1503 (multiplicity 8)
5 F 0.1660 0.0039 0.4114 (multiplicity 8)


Entry 2:
# La6Cd2CoTc

Crystalline La6Cd2CoTc at its relaxed geometry (GGA-PBE, Alexandria).

Output
Energy of formation: -142 meV per atom
Raw total energy: -5.03 eV/atom
Calculated density: 6.4 Mg/m³

abc: 7.5642 7.5942 7.6550
angles: 119.34 119.26 90.24
Space group P1 (No. 1)
Unique sites:
1 La 0.0000 0.0000 0.0000 (multiplicity 1)
2 La 0.0465 0.9541 0.4967 (multiplicity 1)
3 La 0.1001 0.5055 0.0062 (multiplicity 1)
4 La 0.5041 0.8996 0.9930 (multiplicity 1)
5 La 0.5521 0.4449 0.5004 (multiplicity 1)
6 La 0.5994 0.4113 0.0002 (multiplicity 1)
7 Cd 0.0538 0.4522 0.4971 (multiplicity 1)
8 Cd 0.5505 0.9532 0.4996 (multiplicity 1)
9 Co 0.7989 0.7006 0.9939 (multiplicity 1)
10 Tc 0.3049 0.1727 0.9542 (multiplicity 1)


Entry 3:
# TbBr4

Crystalline TbBr4 at its relaxed geometry (GGA-PBE, Alexandria).

Output
Raw total energy: -3.44 eV/atom
Calculated density: 4.5 Mg/m³
Raw formation energy: -1.172 eV/atom

abc: 5.6195 5.6195 5.6195
angles: 90.00 90.00 90.00
Space group Pm-3m (No. 221)
Unique sites:
1 Tb 0.0000 0.0000 0.0000 (multiplicity 1)
2 Br 0.0000 0.0000 0.5000 (multiplicity 3)
3 Br 0.5000 0.5000 0.5000 (multiplicity 1)


Entry 4:
# SnSb2TeOs

Crystalline SnSb2TeOs at its relaxed geometry (GGA-PBE, Alexandria).

Output
Raw total energy: -3.46 eV/atom
Calculated density: 7.0 Mg/m³
Raw formation energy: 1.866 eV/atom

abc: 5.4306 5.4306 5.4584
angles: 90.00 90.00 90.00
Space group P4/mmm (No. 123)
Unique sites:
1 Sn 0.0000 0.0000 0.0000 (multiplicity 1)
2 Sb 0.0000 0.5000 0.0000 (multiplicity 2)
3 Te 0.0000 0.0000 0.5000 (multiplicity 1)
4 Os 0.5000 0.5000 0.5000 (multiplicity 1)


Entry 5:
# PuGaSbAu

Crystalline PuGaSbAu at its relaxed geometry (GGA-PBE, Alexandria).

Output
Raw total energy: -6.45 eV/atom
Calculated density: 11.3 Mg/m³
Raw formation energy: -0.263 eV/atom

abc: 7.1980 7.1980 7.1980
angles: 90.00 90.00 90.00
Space group F-43m (No. 216)
Unique sites:
1 Pu 0.0000 0.0000 0.0000 (multiplicity 4)
2 Ga 0.0000 0.0000 0.5000 (multiplicity 4)
3 Sb 0.2500 0.2500 0.2500 (multiplicity 4)
4 Au 0.2500 0.2500 0.7500 (multiplicity 4)


Entry 6:
# Tl2HgBiPb2

Crystalline Tl2HgBiPb2 at its relaxed geometry (GGA-PBE, Alexandria).

Output
Energy of formation: 0 meV per atom
Raw total energy: -2.72 eV/atom
Calculated density: 11.1 Mg/m³

abc: 4.9009 10.6983 7.0261
angles: 90.00 90.00 90.00
Space group Pmc2_1 (No. 26)
Unique sites:
1 Tl 0.0000 0.9998 0.0000 (multiplicity 2)
2 Tl 0.5000 0.1703 0.2492 (multiplicity 2)
3 Hg 0.5000 0.4948 0.2626 (multiplicity 2)
4 Bi 0.0000 0.3349 0.5051 (multiplicity 2)
5 Pb 0.0000 0.3522 0.0110 (multiplicity 2)
6 Pb 0.5000 0.1899 0.7475 (multiplicity 2)


Entry 7:
# VCoMo2H

Crystalline VCoMo2H at its relaxed geometry (GGA-PBE, Alexandria).

Output
Raw total energy: -8.21 eV/atom
Calculated density: 8.7 Mg/m³

abc: 4.1793 4.1793 3.3074
angles: 90.00 90.00 90.00
Space group P4/mmm (No. 123)
Unique sites:
1 V 0.0000 0.0000 0.0000 (multiplicity 1)
2 Co 0.5000 0.5000 0.0000 (multiplicity 1)
3 Mo 0.0000 0.5000 0.5000 (multiplicity 2)
4 H 0.5000 0.5000 0.5000 (multiplicity 1)


Entry 8:
# ScNb2Os3

Crystalline ScNb2Os3 at its relaxed geometry (GGA-PBE, Alexandria).

Output
Energy of formation: -332 meV per atom
Raw total energy: -10.36 eV/atom
Calculated density: 13.6 Mg/m³

abc: 4.5090 4.5090 5.5455
angles: 90.00 90.00 120.00
Space group P-3m1 (No. 164)
Unique sites:
1 Sc 0.0000 0.0000 0.0000 (multiplicity 1)
2 Nb 0.3333 0.6667 0.6684 (multiplicity 2)
3 Os 0.0000 0.0000 0.5000 (multiplicity 1)
4 Os 0.3333 0.6667 0.1680 (multiplicity 2)


Entry 9:
# YMn3In

Crystalline YMn3In at its relaxed geometry (GGA-PBE, Alexandria).

Output
Energy of formation: 915 meV per atom
Raw total energy: -6.43 eV/atom
Calculated density: 4.9 Mg/m³

abc: 4.9893 4.9893 4.9893
angles: 90.00 90.00 90.00
Space group Pm-3m (No. 221)
Unique sites:
1 Y 0.0000 0.0000 0.0000 (multiplicity 1)
2 Mn 0.0000 0.5000 0.5000 (multiplicity 3)
3 In 0.5000 0.5000 0.5000 (multiplicity 1)


Entry 10:
# La2NiPbN

Crystalline La2NiPbN at its relaxed geometry (GGA-PBE, Alexandria).

Output
Raw total energy: -6.18 eV/atom
Calculated density: 8.2 Mg/m³
Raw formation energy: -0.643 eV/atom

abc: 5.4798 5.4798 3.7475
angles: 90.00 90.00 90.00
Space group P4/mmm (No. 123)
Unique sites:
1 La 0.0000 0.5000 0.0000 (multiplicity 2)
2 Ni 0.0000 0.0000 0.5000 (multiplicity 1)
3 Pb 0.5000 0.5000 0.5000 (multiplicity 1)
4 N 0.0000 0.0000 0.0000 (multiplicity 1)


Entry 11:
# Al2PO2

Crystalline Al2PO2 at its relaxed geometry (GGA-PBE, Alexandria).

Output
Raw total energy: -6.07 eV/atom
Calculated density: 3.1 Mg/m³
Raw formation energy: -1.507 eV/atom

abc: 3.3738 3.3738 11.0583
angles: 90.00 90.00 90.00
Space group I4/mmm (No. 139)
Unique sites:
1 Al 0.0000 0.0000 0.1723 (multiplicity 4)
2 P 0.0000 0.0000 0.5000 (multiplicity 2)
3 O 0.0000 0.5000 0.2500 (multiplicity 4)


Entry 12:
# K3Ce3CdTe8

Crystalline K3Ce3CdTe8 at its relaxed geometry (GGA-PBE, Alexandria).

Output
Raw total energy: -4.25 eV/atom
Calculated density: 4.7 Mg/m³
Raw formation energy: -1.104 eV/atom

abc: 15.6440 9.0386 9.8220
angles: 90.00 122.03 90.00
Space group C2/m (No. 12)
Unique sites:
1 K 0.0000 0.0000 0.0000 (multiplicity 2)
2 K 0.2500 0.2500 0.0000 (multiplicity 4)
3 Ce 0.0000 0.5000 0.5000 (multiplicity 2)
4 Ce 0.2500 0.2500 0.5000 (multiplicity 4)
5 Cd 0.0000 0.0000 0.5000 (multiplicity 2)
6 Te 0.0153 0.2521 0.2940 (multiplicity 8)
7 Te 0.2358 0.0000 0.7054 (multiplicity 4)
8 Te 0.2377 0.5000 0.7129 (multiplicity 4)